Entry from Alexandria: crystalline DyTh2Sc7 at its relaxed geometry (PBE-GGA).

a = 3.5088 Å, b = 9.7096 Å, c = 9.7097 Å
α = 109.18°, β = 79.59°, γ = 79.59°
With the nearest neighbours (Å) after each atom.
Positions (direct):
Dy (0.0000, 0.0000, 0.0000)  4 Th 3.36, 2 Dy 3.51, 4 Sc 3.74
Th (0.5000, 0.8192, 0.1808)  6 Sc 3.13-3.27, 2 Dy 3.36
Th (0.5000, 0.1808, 0.8192)  6 Sc 3.13-3.27, 2 Dy 3.36
Sc (0.0000, 0.6556, 0.3444)  6 Sc 3.02-3.15, 2 Th 3.13
Sc (0.0000, 0.3444, 0.6556)  6 Sc 3.02-3.15, 2 Th 3.13
Sc (0.7441, 0.0948, 0.4170)  6 Sc 3.15-3.51, 2 Th 3.26
Sc (0.2559, 0.9052, 0.5830)  6 Sc 3.15-3.51, 2 Th 3.26
Sc (0.7441, 0.4170, 0.0948)  6 Sc 3.15-3.51, 2 Th 3.26-3.27
Sc (0.2559, 0.5830, 0.9052)  6 Sc 3.15-3.51, 2 Th 3.26-3.27
Sc (0.5000, 0.5000, 0.5000)  4 Sc 3.02

Results
The polymorph energy (0 for the lowest one) comes out at 149 meV/atom.


Entry from Alexandria: crystalline La2Sc at its relaxed geometry (PBE-GGA).

a = 7.7142 Å, b = 7.7142 Å, c = 7.7142 Å
α = 152.56°, β = 152.56°, γ = 39.19°
With the nearest neighbours (Å) after each atom.
Positions (direct):
Sc (0.3333, 0.3333, 0.0000)  8 La 3.48, 4 Sc 3.66
La (0.9935, 0.9935, 0.0000)  4 Sc 3.48, 8 La 3.66-3.68
La (0.6731, 0.6731, 0.0000)  4 Sc 3.48, 8 La 3.66-3.68

Results
The polymorph energy (0 for the lowest one) comes out at 15 meV/atom.


Entry from Alexandria: crystalline CaHo12Er6 at its relaxed geometry (PBE-GGA).

a = 9.2678 Å, b = 9.2678 Å, c = 9.2678 Å
α = 107.63°, β = 107.63°, γ = 107.63°
With the nearest neighbours (Å) after each atom.
Positions (direct):
Ca (0.0000, 0.0000, 0.0000)  6 Ho 3.45
Ho (0.8882, 0.1118, 0.5000)  4 Er 3.29-3.40, 5 Ho 3.35-3.65
Ho (0.3586, 0.1361, 0.3586)  3 Er 3.14-3.52, 2 Ho 3.33, 1 Ca 3.45
Ho (0.3586, 0.3586, 0.1361)  3 Er 3.14-3.52, 2 Ho 3.33, 1 Ca 3.45
Ho (0.8639, 0.6414, 0.6414)  3 Er 3.14-3.52, 2 Ho 3.33, 1 Ca 3.45
Ho (0.6414, 0.6414, 0.8639)  3 Er 3.14-3.52, 2 Ho 3.33, 1 Ca 3.45
Ho (0.6414, 0.8639, 0.6414)  3 Er 3.14-3.52, 2 Ho 3.33, 1 Ca 3.45
Ho (0.5000, 0.8882, 0.1118)  4 Er 3.29-3.40, 5 Ho 3.35-3.65
Ho (0.1118, 0.5000, 0.8882)  4 Er 3.29-3.40, 5 Ho 3.35-3.65
Ho (0.1118, 0.8882, 0.5000)  4 Er 3.29-3.40, 5 Ho 3.35-3.65
Ho (0.5000, 0.1118, 0.8882)  4 Er 3.29-3.40, 5 Ho 3.35-3.65
Ho (0.8882, 0.5000, 0.1118)  4 Er 3.29-3.40, 5 Ho 3.35-3.65
Ho (0.1361, 0.3586, 0.3586)  3 Er 3.14-3.52, 2 Ho 3.33, 1 Ca 3.45
Er (0.6874, 0.2743, 0.6874)  7 Ho 3.14-3.52
Er (0.6874, 0.6874, 0.2743)  7 Ho 3.14-3.52
Er (0.2743, 0.6874, 0.6874)  7 Ho 3.14-3.52
Er (0.3126, 0.3126, 0.7257)  7 Ho 3.14-3.52
Er (0.3126, 0.7257, 0.3126)  7 Ho 3.14-3.52
Er (0.7257, 0.3126, 0.3126)  7 Ho 3.14-3.52

Results
Its uncorrected energy is -76.08 eV per cell.


Entry from Alexandria: crystalline In3C at its relaxed geometry (PBE-GGA).

a = 6.2436 Å, b = 6.7733 Å, c = 8.4654 Å
α = 90.00°, β = 90.00°, γ = 90.00°
With the nearest neighbours (Å) after each atom.
Positions (direct):
C (0.6588, 0.0016, 0.7500)  5 In 2.29-2.35
C (0.1588, 0.4984, 0.2500)  5 In 2.29-2.35
C (0.8412, 0.5016, 0.7500)  5 In 2.29-2.35
C (0.3412, 0.9984, 0.2500)  5 In 2.29-2.35
In (0.2083, 0.4961, 0.7500)  1 C 2.29
In (0.7083, 0.0039, 0.2500)  1 C 2.29
In (0.2917, 0.9961, 0.7500)  1 C 2.29
In (0.7917, 0.5039, 0.2500)  1 C 2.29
In (0.7464, 0.2531, 0.9296)  2 C 2.34-2.35
In (0.2464, 0.2469, 0.0704)  2 C 2.34-2.35
In (0.7536, 0.7531, 0.5704)  2 C 2.34-2.35
In (0.2536, 0.7469, 0.4296)  2 C 2.34-2.35
In (0.2536, 0.7469, 0.0704)  2 C 2.34-2.35
In (0.7536, 0.7531, 0.9296)  2 C 2.34-2.35
In (0.2464, 0.2469, 0.4296)  2 C 2.34-2.35
In (0.7464, 0.2531, 0.5704)  2 C 2.34-2.35

Results
Its uncorrected energy is -58.05 eV per cell.


The evaluated calculated density for the records listed, in turn: 5.27, 5.51, 7.71, 6.61 g/cm³.